# 1
# Mg2AlPb (GGA-PBEsol, relaxed)
data_Mg2AlPb
_cell_length_a 4.5326
_cell_length_b 4.5326
_cell_length_c 4.3052
_cell_angle_alpha 90.00
_cell_angle_beta 90.00
_cell_angle_gamma 90.00
_symmetry_space_group_name_H-M 'P 4/m m m'
_symmetry_Int_Tables_number 123
_symmetry_space_group_name_Hall '-P 4 2'
loop_
_atom_site_label
_atom_site_fract_x
_atom_site_fract_y
_atom_site_fract_z
Mg1 0.0000 0.5000 0.0000
Al1 0.0000 0.0000 0.5000
Pb1 0.5000 0.5000 0.5000
# **Mass density**: 5.3 Mg/m³
# **DOS at the Fermi energy**: 1.8 states/eV per cell
# **Energy relative to the elements**: 0.015 eV per atom

# 2
# Mg16Al12Pb (GGA-PBEsol, relaxed)
data_Mg16Al12Pb
_cell_length_a 14.8099
_cell_length_b 14.8099
_cell_length_c 9.1741
_cell_angle_alpha 90.00
_cell_angle_beta 90.00
_cell_angle_gamma 120.00
_symmetry_space_group_name_H-M 'R 3 m'
_symmetry_Int_Tables_number 160
_symmetry_space_group_name_Hall 'R 3 -2"'
loop_
_atom_site_label
_atom_site_fract_x
_atom_site_fract_y
_atom_site_fract_z
Mg1 0.0000 0.0000 0.0000
Mg2 0.0408 0.3612 0.3639
Mg3 0.1015 0.5507 0.5538
Mg4 0.1048 0.2095 0.5032
Mg5 0.2006 0.4012 0.1178
Al1 0.0015 0.1880 0.1832
Al2 0.1250 0.0625 0.7026
Al3 0.2107 0.4213 0.6086
Pb1 0.0000 0.0000 0.3421
# **Mass density**: 2.6 Mg/m³
# **DOS at the Fermi energy**: 31.1 states/eV per cell
# **Offset from the most stable computed form**: 0.05 eV/f.u.
# **Energy relative to the elements**: -0.003 eV per atom

# 3
# Mg2AlPb (GGA-PBEsol, relaxed)
data_Mg2AlPb
_cell_length_a 3.2800
_cell_length_b 3.2800
_cell_length_c 29.2170
_cell_angle_alpha 90.00
_cell_angle_beta 90.00
_cell_angle_gamma 120.00
_symmetry_space_group_name_H-M 'R -3 m'
_symmetry_Int_Tables_number 166
_symmetry_space_group_name_Hall '-R 3 2"'
loop_
_atom_site_label
_atom_site_fract_x
_atom_site_fract_y
_atom_site_fract_z
Mg1 0.0000 0.0000 0.2441
Al1 0.0000 0.0000 0.5000
Pb1 0.0000 0.0000 0.0000
# **Mass density**: 5.2 Mg/m³
# **DOS at the Fermi energy**: 5.8 states/eV per cell
# **Energy relative to the elements**: 0.029 eV per atom

# 4
# Mg2AlPb (GGA-PBEsol, relaxed)
data_Mg2AlPb
_cell_length_a 4.3834
_cell_length_b 4.3834
_cell_length_c 9.2906
_cell_angle_alpha 90.00
_cell_angle_beta 90.00
_cell_angle_gamma 90.00
_symmetry_space_group_name_H-M 'I -4 m 2'
_symmetry_Int_Tables_number 119
_symmetry_space_group_name_Hall 'I -4 -2'
loop_
_atom_site_label
_atom_site_fract_x
_atom_site_fract_y
_atom_site_fract_z
Mg1 0.0000 0.0000 0.0000
Mg2 0.0000 0.5000 0.2500
Al1 0.0000 0.5000 0.7500
Pb1 0.0000 0.0000 0.5000
# **Mass density**: 5.3 Mg/m³
# **DOS at the Fermi energy**: 3.5 states/eV per cell
# **Energy relative to the elements**: 0.026 eV per atom

# 5
# Mg2AlPb (GGA-PBEsol, relaxed)
data_Mg2AlPb
_cell_length_a 3.2334
_cell_length_b 4.2078
_cell_length_c 6.5360
_cell_angle_alpha 90.00
_cell_angle_beta 90.00
_cell_angle_gamma 90.00
_symmetry_space_group_name_H-M 'P m m m'
_symmetry_Int_Tables_number 47
loop_
_symmetry_equiv_pos_as_xyz
'x,y,z'
'-x,-y,-z'
'-x,-y,z'
'x,y,-z'
'x,-y,-z'
'-x,y,z'
'-x,y,-z'
'x,-y,z'
loop_
_atom_site_label
_atom_site_fract_x
_atom_site_fract_y
_atom_site_fract_z
Mg1 0.0000 0.0000 0.2290
Al1 0.5000 0.5000 0.0000
Pb1 0.5000 0.5000 0.5000
# **Mass density**: 5.3 Mg/m³
# **DOS at the Fermi energy**: 1.7 states/eV per cell
# **Energy relative to the elements**: 0.005 eV per atom

# 6
# Mg2AlPb (GGA-PBEsol, relaxed)
data_Mg2AlPb
_cell_length_a 6.3749
_cell_length_b 8.6418
_cell_length_c 3.2289
_cell_angle_alpha 90.00
_cell_angle_beta 90.00
_cell_angle_gamma 90.00
_symmetry_space_group_name_H-M 'C m m m'
_symmetry_Int_Tables_number 65
_symmetry_space_group_name_Hall '-C 2 2'
loop_
_atom_site_label
_atom_site_fract_x
_atom_site_fract_y
_atom_site_fract_z
Mg1 0.2500 0.2500 0.0000
Al1 0.0000 0.0000 0.5000
Pb1 0.0000 0.5000 0.5000
# **Mass density**: 5.3 Mg/m³
# **DOS at the Fermi energy**: 3.1 states/eV per cell
# **Energy relative to the elements**: 0.024 eV per atom

# 7
# Mg2AlPb (GGA-PBEsol, relaxed)
data_Mg2AlPb
_cell_length_a 7.1744
_cell_length_b 7.1744
_cell_length_c 7.1744
_cell_angle_alpha 90.00
_cell_angle_beta 90.00
_cell_angle_gamma 90.00
_symmetry_space_group_name_H-M 'F -4 3 m'
_symmetry_Int_Tables_number 216
_symmetry_space_group_name_Hall 'F -4 2 3'
loop_
_atom_site_label
_atom_site_fract_x
_atom_site_fract_y
_atom_site_fract_z
Mg1 0.0000 0.0000 0.0000
Mg2 0.2500 0.2500 0.2500
Al1 0.0000 0.0000 0.5000
Pb1 0.2500 0.2500 0.7500
# **Mass density**: 5.1 Mg/m³
# **DOS at the Fermi energy**: 7.4 states/eV per cell
# **Energy relative to the elements**: 0.111 eV per atom

# 8
# Mg2AlPb (GGA-PBEsol, relaxed)
data_Mg2AlPb
_cell_length_a 9.7999
_cell_length_b 3.2526
_cell_length_c 5.7527
_cell_angle_alpha 90.00
_cell_angle_beta 100.98
_cell_angle_gamma 90.00
_symmetry_space_group_name_H-M 'C 1 2/m 1'
_symmetry_Int_Tables_number 12
loop_
_symmetry_equiv_pos_as_xyz
'x,y,z'
'-x,-y,-z'
'-x,y,-z'
'x,-y,z'
'x+1/2,y+1/2,z'
'-x+1/2,-y+1/2,-z'
'-x+1/2,y+1/2,-z'
'x+1/2,-y+1/2,z'
loop_
_atom_site_label
_atom_site_fract_x
_atom_site_fract_y
_atom_site_fract_z
Mg1 0.2438 0.0000 0.2294
Al1 0.0000 0.5000 0.0000
Pb1 0.0000 0.0000 0.5000
# **Mass density**: 5.2 Mg/m³
# **DOS at the Fermi energy**: 3.5 states/eV per cell
# **Energy relative to the elements**: 0.026 eV per atom

# 9
# Mg16Al12Pb (GGA-PBEsol, relaxed)
data_Mg16Al12Pb
_cell_length_a 10.4986
_cell_length_b 14.6883
_cell_length_c 9.0531
_cell_angle_alpha 90.00
_cell_angle_beta 123.62
_cell_angle_gamma 90.00
_symmetry_space_group_name_H-M 'C 1 m 1'
_symmetry_Int_Tables_number 8
loop_
_symmetry_equiv_pos_as_xyz
'x,y,z'
'x,-y,z'
'x+1/2,y+1/2,z'
'x+1/2,-y+1/2,z'
loop_
_atom_site_label
_atom_site_fract_x
_atom_site_fract_y
_atom_site_fract_z
Mg1 0.0000 0.0000 0.0000
Mg2 0.0013 0.0000 0.6573
Mg3 0.0159 0.3026 0.3204
Mg4 0.0370 0.3585 0.9969
Mg5 0.1996 0.2015 0.6835
Mg6 0.3136 0.0000 0.7128
Mg7 0.3290 0.3237 0.0089
Mg8 0.3340 0.0000 0.3331
Mg9 0.3458 0.3402 0.4037
Mg10 0.4431 0.1555 0.6015
Al1 0.0944 0.0936 0.3703
Al2 0.1326 0.5000 0.8268
Al3 0.1830 0.1857 0.1848
Al4 0.2319 0.4048 0.6499
Al5 0.2674 0.0923 0.9916
Al6 0.3252 0.5000 0.1815
Al7 0.4968 0.3154 0.8146
Pb1 0.1096 0.5000 0.2950
# **Mass density**: 2.6 Mg/m³
# **DOS at the Fermi energy**: 22.2 states/eV per cell
# **Offset from the most stable computed form**: 0.00 eV/f.u.
# **Energy relative to the elements**: -0.005 eV per atom

# 10
# MgAl3Pb (GGA-PBEsol, relaxed)
data_MgAl3Pb
_cell_length_a 5.0629
_cell_length_b 5.0629
_cell_length_c 5.0629
_cell_angle_alpha 90.00
_cell_angle_beta 90.00
_cell_angle_gamma 90.00
_symmetry_space_group_name_H-M 'P m -3 m'
_symmetry_Int_Tables_number 221
_symmetry_space_group_name_Hall '-P 4 2 3'
loop_
_atom_site_label
_atom_site_fract_x
_atom_site_fract_y
_atom_site_fract_z
Mg1 0.0000 0.0000 0.0000
Al1 0.0000 0.0000 0.5000
Pb1 0.5000 0.5000 0.5000
# **Mass density**: 4.0 Mg/m³
# **DOS at the Fermi energy**: 3.1 states/eV per cell
# **Energy relative to the elements**: 0.787 eV per atom

# 11
# Mg2AlPb (GGA-PBEsol, relaxed)
data_Mg2AlPb
_cell_length_a 4.5321
_cell_length_b 4.5321
_cell_length_c 8.6191
_cell_angle_alpha 90.00
_cell_angle_beta 90.00
_cell_angle_gamma 90.00
_symmetry_space_group_name_H-M 'I 4/m m m'
_symmetry_Int_Tables_number 139
_symmetry_space_group_name_Hall '-I 4 2'
loop_
_atom_site_label
_atom_site_fract_x
_atom_site_fract_y
_atom_site_fract_z
Mg1 0.0000 0.5000 0.2500
Al1 0.0000 0.0000 0.0000
Pb1 0.0000 0.0000 0.5000
# **Mass density**: 5.3 Mg/m³
# **DOS at the Fermi energy**: 3.4 states/eV per cell
# **Energy relative to the elements**: 0.016 eV per atom

# 12
# MgAlPd2 (GGA-PBEsol, relaxed)
data_MgAlPd2
_cell_length_a 6.8215
_cell_length_b 6.8215
_cell_length_c 5.6614
_cell_angle_alpha 90.00
_cell_angle_beta 90.00
_cell_angle_gamma 90.00
_symmetry_space_group_name_H-M 'I -4 2 d'
_symmetry_Int_Tables_number 122
_symmetry_space_group_name_Hall 'I -4 2bw'
loop_
_atom_site_label
_atom_site_fract_x
_atom_site_fract_y
_atom_site_fract_z
Mg1 0.0000 0.0000 0.0000
Al1 0.0000 0.0000 0.5000
Pd1 0.2239 0.7500 0.6250
# **Mass density**: 6.7 Mg/m³
# **DOS at the Fermi energy**: 4.5 states/eV per cell
# **Energy relative to the elements**: -0.430 eV per atom